# LiLaZnPd2 PBE-GGA optimized geometry
data_LiLaZnPd2
_chemical_formula_sum 'Li2 La2 Zn2 Pd4'
_cell_length_a 4.042
_cell_length_b 4.042
_cell_length_c 11.987
_cell_angle_alpha 90.00
_cell_angle_beta 90.00
_cell_angle_gamma 90.00
_symmetry_space_group_name_H-M 'I -4 m 2'
_symmetry_Int_Tables_number 119
_symmetry_space_group_name_Hall 'I -4 -2'
loop_
_atom_site_label
_atom_site_type_symbol
_atom_site_fract_x
_atom_site_fract_y
_atom_site_fract_z
Li1 Li 0.000 0.000 0.000
La1 La 0.000 0.500 0.250
Zn1 Zn 0.000 0.000 0.500
Pd1 Pd 0.000 0.500 0.637
# E_form in eV/atom: -0.636
# Calculated total energy in eV per atom: -4.3358
# Energy above the lowest structure with this stoichiometry in meV per atom: 0.0
# Crystal system: tetragonal

***

# LiLa2Zn2Pd5 PBE-GGA optimized geometry
data_LiLa2Zn2Pd5
_chemical_formula_sum 'Li2 La4 Zn4 Pd10'
_cell_length_a 9.928
_cell_length_b 9.928
_cell_length_c 3.855
_cell_angle_alpha 90.00
_cell_angle_beta 90.00
_cell_angle_gamma 90.00
_symmetry_space_group_name_H-M 'P 4/m b m'
_symmetry_Int_Tables_number 127
_symmetry_space_group_name_Hall '-P 4 2ab'
loop_
_atom_site_label
_atom_site_type_symbol
_atom_site_fract_x
_atom_site_fract_y
_atom_site_fract_z
Li1 Li 0.000 0.000 0.000
La1 La 0.181 0.319 0.000
Zn1 Zn 0.116 0.616 0.000
Pd1 Pd 0.000 0.500 0.500
Pd2 Pd 0.065 0.793 0.500
# E_form in eV/atom: -0.587
# Calculated total energy in eV per atom: -4.6154
# Crystal system: tetragonal

***

# LiLaZn3Pd PBE-GGA optimized geometry
data_LiLaZn3Pd
_chemical_formula_sum 'Li4 La4 Zn12 Pd4'
_cell_length_a 6.205
_cell_length_b 12.815
_cell_length_c 5.619
_cell_angle_alpha 90.00
_cell_angle_beta 90.00
_cell_angle_gamma 90.00
_symmetry_space_group_name_H-M 'C m c m'
_symmetry_Int_Tables_number 63
_symmetry_space_group_name_Hall '-C 2c 2'
loop_
_atom_site_label
_atom_site_type_symbol
_atom_site_fract_x
_atom_site_fract_y
_atom_site_fract_z
Li1 Li 0.000 0.069 0.250
La1 La 0.000 0.292 0.250
Zn1 Zn 0.000 0.134 0.750
Zn2 Zn 0.208 0.500 0.000
Pd1 Pd 0.000 0.346 0.750
# E_form in eV/atom: -0.322
# Calculated total energy in eV per atom: -2.9646
# Crystal system: orthorhombic

***

# LiLa8Pm5 PBE-GGA optimized geometry
data_LiLa8Pm5
_chemical_formula_sum 'Li2 La16 Pm10'
_cell_length_a 9.885
_cell_length_b 9.885
_cell_length_c 10.313
_cell_angle_alpha 90.00
_cell_angle_beta 90.00
_cell_angle_gamma 90.00
_symmetry_space_group_name_H-M 'I -4'
_symmetry_Int_Tables_number 82
loop_
_symmetry_equiv_pos_as_xyz
'x,y,z'
'y,-x,-z'
'-x,-y,z'
'-y,x,-z'
'x+1/2,y+1/2,z+1/2'
'y+1/2,-x+1/2,-z+1/2'
'-x+1/2,-y+1/2,z+1/2'
'-y+1/2,x+1/2,-z+1/2'
loop_
_atom_site_label
_atom_site_type_symbol
_atom_site_fract_x
_atom_site_fract_y
_atom_site_fract_z
Li1 Li 0.000 0.000 0.000
La1 La 0.068 0.166 0.660
La2 La 0.080 0.305 0.993
Pm1 Pm 0.000 0.500 0.750
Pm2 Pm 0.097 0.296 0.327
# E_form in eV/atom: 0.208
# Calculated total energy in eV per atom: -4.4407
# Crystal system: tetragonal

***

# LiLaPm PBE-GGA optimized geometry
data_LiLaPm
_chemical_formula_sum 'Li2 La2 Pm2'
_cell_length_a 3.785
_cell_length_b 3.785
_cell_length_c 12.879
_cell_angle_alpha 90.00
_cell_angle_beta 90.00
_cell_angle_gamma 90.00
_symmetry_space_group_name_H-M 'I 4 m m'
_symmetry_Int_Tables_number 107
_symmetry_space_group_name_Hall 'I 4 -2'
loop_
_atom_site_label
_atom_site_type_symbol
_atom_site_fract_x
_atom_site_fract_y
_atom_site_fract_z
Li1 Li 0.000 0.000 0.000
La1 La 0.000 0.000 0.341
Pm1 Pm 0.000 0.000 0.649
# E_form in eV/atom: 0.081
# Calculated total energy in eV per atom: -3.7829
# Energy above the lowest structure with this stoichiometry in meV per atom: 41.7
# Crystal system: tetragonal

***

# LiLaPm PBE-GGA optimized geometry
data_LiLaPm
_chemical_formula_sum 'Li1 La1 Pm1'
_cell_length_a 3.5966
_cell_length_b 3.5966
_cell_length_c 8.5489
_cell_angle_alpha 90.00
_cell_angle_beta 90.00
_cell_angle_gamma 120.00
_symmetry_space_group_name_H-M 'P 3 m 1'
_symmetry_Int_Tables_number 156
loop_
_symmetry_equiv_pos_as_xyz
'x,y,z'
'-y,x-y,z'
'-x+y,-x,z'
'-y,-x,z'
'-x+y,y,z'
'x,x-y,z'
loop_
_atom_site_label
_atom_site_type_symbol
_atom_site_fract_x
_atom_site_fract_y
_atom_site_fract_z
Li1 Li 0.0000 0.0000 0.0000
La1 La 0.3333 0.6667 0.6688
Pm1 Pm 0.6667 0.3333 0.3214
# E_form in eV/atom: 0.098
# Calculated total energy in eV per atom: -3.7658
# Energy above the lowest structure with this stoichiometry in meV per atom: 58.8
# Crystal system: trigonal

***

# LiLa14Pm PBE-GGA optimized geometry
data_LiLa14Pm
_chemical_formula_sum 'Li1 La14 Pm1'
_cell_length_a 7.352
_cell_length_b 7.352
_cell_length_c 10.529
_cell_angle_alpha 90.00
_cell_angle_beta 90.00
_cell_angle_gamma 90.00
_symmetry_space_group_name_H-M 'P 4/m m m'
_symmetry_Int_Tables_number 123
_symmetry_space_group_name_Hall '-P 4 2'
loop_
_atom_site_label
_atom_site_type_symbol
_atom_site_fract_x
_atom_site_fract_y
_atom_site_fract_z
Li1 Li 0.000 0.000 0.000
La1 La 0.000 0.000 0.500
La2 La 0.000 0.500 0.000
La3 La 0.000 0.500 0.500
La4 La 0.248 0.248 0.247
La5 La 0.500 0.500 0.500
Pm1 Pm 0.500 0.500 0.000
# E_form in eV/atom: 0.026
# Calculated total energy in eV per atom: -4.7019
# Crystal system: tetragonal

***

# LiLa4Pm PBE-GGA optimized geometry
data_LiLa4Pm
_chemical_formula_sum 'Li1 La4 Pm1'
_cell_length_a 3.728
_cell_length_b 3.728
_cell_length_c 14.543
_cell_angle_alpha 90.00
_cell_angle_beta 90.00
_cell_angle_gamma 90.00
_symmetry_space_group_name_H-M 'P 4/m m m'
_symmetry_Int_Tables_number 123
_symmetry_space_group_name_Hall '-P 4 2'
loop_
_atom_site_label
_atom_site_type_symbol
_atom_site_fract_x
_atom_site_fract_y
_atom_site_fract_z
Li1 Li 0.000 0.000 0.000
La1 La 0.000 0.000 0.321
La2 La 0.500 0.500 0.150
Pm1 Pm 0.500 0.500 0.500
# E_form in eV/atom: 0.038
# Calculated total energy in eV per atom: -4.3575
# Crystal system: tetragonal

***

# Li4LaPm PBE-GGA optimized geometry
data_Li4LaPm
_chemical_formula_sum 'Li16 La4 Pm4'
_cell_length_a 8.496
_cell_length_b 8.496
_cell_length_c 8.496
_cell_angle_alpha 90.00
_cell_angle_beta 90.00
_cell_angle_gamma 90.00
_symmetry_space_group_name_H-M 'F -4 3 m'
_symmetry_Int_Tables_number 216
_symmetry_space_group_name_Hall 'F -4 2 3'
loop_
_atom_site_label
_atom_site_type_symbol
_atom_site_fract_x
_atom_site_fract_y
_atom_site_fract_z
Li1 Li 0.125 0.125 0.125
La1 La 0.000 0.000 0.500
Pm1 Pm 0.250 0.250 0.750
# E_form in eV/atom: 0.107
# Calculated total energy in eV per atom: -2.7822
# Crystal system: cubic

***

# LiLaPm4 PBE-GGA optimized geometry
data_LiLaPm4
_chemical_formula_sum 'Li1 La1 Pm4'
_cell_length_a 3.687
_cell_length_b 3.687
_cell_length_c 14.412
_cell_angle_alpha 90.00
_cell_angle_beta 90.00
_cell_angle_gamma 90.00
_symmetry_space_group_name_H-M 'P 4/m m m'
_symmetry_Int_Tables_number 123
_symmetry_space_group_name_Hall '-P 4 2'
loop_
_atom_site_label
_atom_site_type_symbol
_atom_site_fract_x
_atom_site_fract_y
_atom_site_fract_z
Li1 Li 0.000 0.000 0.000
La1 La 0.500 0.500 0.500
Pm1 Pm 0.000 0.000 0.316
Pm2 Pm 0.500 0.500 0.141
# E_form in eV/atom: 0.051
# Calculated total energy in eV per atom: -4.2566
# Crystal system: tetragonal

***

# LiLaPm PBE-GGA optimized geometry
data_LiLaPm
_chemical_formula_sum 'Li4 La4 Pm4'
_cell_length_a 5.232
_cell_length_b 5.231
_cell_length_c 13.491
_cell_angle_alpha 90.00
_cell_angle_beta 90.00
_cell_angle_gamma 90.00
_symmetry_space_group_name_H-M 'C 1 2/m 1'
_symmetry_Int_Tables_number 12
loop_
_symmetry_equiv_pos_as_xyz
'x,y,z'
'-x,-y,-z'
'-x,y,-z'
'x,-y,z'
'x+1/2,y+1/2,z'
'-x+1/2,-y+1/2,-z'
'-x+1/2,y+1/2,-z'
'x+1/2,-y+1/2,z'
loop_
_atom_site_label
_atom_site_type_symbol
_atom_site_fract_x
_atom_site_fract_y
_atom_site_fract_z
Li1 Li 0.250 0.000 0.048
La1 La 0.249 0.000 0.784
Pm1 Pm 0.250 0.000 0.405
# E_form in eV/atom: 0.039
# Calculated total energy in eV per atom: -3.8246
# Energy above the lowest structure with this stoichiometry in meV per atom: 0.0
# Crystal system: monoclinic

***

# LiLa12Pm3 PBE-GGA optimized geometry
data_LiLa12Pm3
_chemical_formula_sum 'Li1 La12 Pm3'
_cell_length_a 5.227
_cell_length_b 5.227
_cell_length_c 20.794
_cell_angle_alpha 90.00
_cell_angle_beta 90.00
_cell_angle_gamma 90.00
_symmetry_space_group_name_H-M 'P 4/m m m'
_symmetry_Int_Tables_number 123
_symmetry_space_group_name_Hall '-P 4 2'
loop_
_atom_site_label
_atom_site_type_symbol
_atom_site_fract_x
_atom_site_fract_y
_atom_site_fract_z
Li1 Li 0.000 0.000 0.000
La1 La 0.000 0.500 0.122
La2 La 0.000 0.500 0.373
La3 La 0.500 0.500 0.000
La4 La 0.500 0.500 0.246
La5 La 0.500 0.500 0.500
Pm1 Pm 0.000 0.000 0.245
Pm2 Pm 0.000 0.000 0.500
# E_form in eV/atom: 0.035
# Calculated total energy in eV per atom: -4.6707
# Crystal system: tetragonal